TlBi2OsO8: optimized geometry, PBE.

Results
**V**: 15.29 A^3/atom
**Space group**: P-1 (2)
**Formation energy without anion corrections**: -973 meV/atom
**Mass density**: 8.51 g/cm³

Unit cell a=5.1460 b=5.1472 c=6.9262 alpha=89.98 beta=90.01 gamma=89.53
With the nearest neighbours (Å) after each atom.
Atoms (fractional coordinates):
Os (0.0000, 0.0000, 0.0000)  6 O 1.85-1.94
O (0.8230, 0.1810, 0.7916)  1 Os 1.94
O (0.1770, 0.8190, 0.2084)  1 Os 1.94
O (0.1798, 0.8218, 0.7918)  1 Os 1.94
O (0.7463, 0.7482, 0.9982)  1 Os 1.85
O (0.8202, 0.1782, 0.2082)  1 Os 1.94
Bi (0.5007, 0.5009, 0.2490)  4 O 2.21-2.34
Tl (0.0000, 0.0000, 0.5000)  6 O 2.28-2.40
O (0.6872, 0.6883, 0.5009)  2 Bi 2.21-2.22, 1 Tl 2.28
O (0.3128, 0.3117, 0.4991)  2 Bi 2.21-2.22, 1 Tl 2.28
O (0.2537, 0.2518, 0.0018)  1 Os 1.85
Bi (0.4993, 0.4991, 0.7510)  4 O 2.21-2.34